[1]
# NbSbTe3

NbSbTe3 after structural relaxation (PBE, Alexandria via LeMat-Bulk).

Structure (POSCAR):
```
NbSbTe3
1.0
-2.0301 -4.9014 -1.9140
-0.8587 -1.7154 5.3036
-5.1913 2.2005 -0.1288
Te Sb Nb
3 1 1
direct
0.0000 0.0000 0.5000
0.0000 0.5000 0.0000
0.5000 0.0000 0.0000
0.0000 0.0000 0.0000
0.5000 0.5000 0.5000
```

## Properties
- polymorph energy (0 for the lowest one) (meV per atom) = 732.5
- formation energy from raw total energies (eV per formula unit) = 5.322
- DOS at the Fermi energy (states/eV per atom) = 0.836
- space group = Pm-3m

[2]
# CsPdF

CsPdF after structural relaxation (PBE, Alexandria via LeMat-Bulk).

Structure (POSCAR):
```
CsPdF
1.0
-0.4653 -0.2395 3.6172
-5.8620 -4.3901 -1.0411
5.0860 -2.9552 0.4447
F Pd Cs
2 2 2
direct
0.2321 0.4596 0.5059
0.7309 0.7419 0.1453
0.7302 0.2318 0.3917
0.2299 0.9697 0.2597
0.7313 0.8044 0.6767
0.2298 0.3970 0.9745
```

## Properties
- polymorph energy (0 for the lowest one) (meV per atom) = 75.6
- formation energy from raw total energies (eV per formula unit) = -3.651
- space group = P-1

[3]
# Cs2In3PdF12

Cs2In3PdF12 after structural relaxation (PBE, Alexandria via LeMat-Bulk).

Structure (POSCAR):
```
Cs2In3PdF12
1.0
-5.8117 2.9179 -4.2978
-4.3548 -5.0441 -4.0440
-7.2807 -1.2530 2.4864
Cs In F Pd
2 3 12 1
direct
0.6254 0.6254 0.6254
0.3746 0.3746 0.3746
0.0000 0.5000 0.0000
0.5000 0.0000 0.0000
0.0000 0.0000 0.5000
0.1017 0.1017 0.6253
0.6253 0.1017 0.1017
0.3045 0.9130 0.3045
0.3045 0.3045 0.9130
0.8983 0.3747 0.8983
0.6955 0.0870 0.6955
0.6955 0.6955 0.0870
0.8983 0.8983 0.3747
0.3747 0.8983 0.8983
0.9130 0.3045 0.3045
0.1017 0.6253 0.1017
0.0870 0.6955 0.6955
0.0000 0.0000 0.0000
```

## Properties
- formation energy from raw total energies (eV per formula unit) = -42.550
- DOS at the Fermi energy (states/eV per atom) = 0.378
- space group = R-3m

[4]
# Pr2Si2Os

Pr2Si2Os after structural relaxation (PBE, Alexandria via LeMat-Bulk).

Structure (POSCAR):
```
Pr2Si2Os
1.0
5.9870 0.0000 0.0000
0.0000 6.6460 0.0000
-2.9935 -3.3230 6.1326
Si Pr Os
4 4 2
direct
0.3998 0.6150 0.7996
0.8998 0.1846 0.7996
0.6002 0.3850 0.2004
0.1002 0.8154 0.2004
0.3567 0.0390 0.7135
0.1433 0.3256 0.2865
0.8567 0.6744 0.7135
0.6433 0.9610 0.2865
0.2500 0.5000 0.0000
0.7500 0.5000 0.0000
```

## Properties
- formation energy from raw total energies (eV per formula unit) = -2.423
- DOS at the Fermi energy (states/eV per atom) = 0.798
- space group = Ibam

[5]
# Ce3GeTe

Ce3GeTe after structural relaxation (PBE, Alexandria via LeMat-Bulk).

Structure (POSCAR):
```
Ce3GeTe
1.0
4.1301 0.4696 -0.7480
-0.9921 8.8264 0.0896
-2.2771 -3.7081 8.9425
Ce Ge Te
6 2 2
direct
0.6914 0.6663 0.4413
0.1598 0.6772 0.9097
0.3086 0.3337 0.5587
0.9105 0.0499 0.1604
0.0895 0.9501 0.8396
0.8402 0.3228 0.0903
0.4310 0.6932 0.6809
0.5690 0.3068 0.3191
0.0573 0.2907 0.8075
0.9427 0.7093 0.1925
```

## Properties
- formation energy from raw total energies (eV per formula unit) = -3.520
- DOS at the Fermi energy (states/eV per atom) = 2.705
- space group = P2_1/m

[6]
# PmMgFe4

PmMgFe4 after structural relaxation (PBE, Alexandria via LeMat-Bulk).

Structure (POSCAR):
```
PmMgFe4
1.0
-4.3795 1.8367 1.8465
-1.9016 -1.8428 4.3533
0.0153 2.8759 4.2062
Pm Fe Mg
1 4 1
direct
0.2500 0.2500 0.2500
0.6255 0.6255 0.6255
0.6255 0.1235 0.6255
0.6255 0.6255 0.1235
0.1235 0.6255 0.6255
0.0000 0.0000 0.0000
```

## Properties
- ΔH_f (0 K) (kJ/mol of atoms) = 4.1
- DOS at the Fermi energy (states/eV per atom) = 0.790
- space group = F-43m

[7]
# PmDy2ThBi4

PmDy2ThBi4 after structural relaxation (PBE, Alexandria via LeMat-Bulk).

Structure (POSCAR):
```
PmDy2ThBi4
1.0
-1.0760 1.8797 -3.9924
-6.7385 -3.9924 -0.0638
-5.5973 4.2481 3.5085
Th Bi Pm Dy
1 4 1 2
direct
0.0000 0.5000 0.5000
0.5000 0.7583 0.2465
0.5000 0.2417 0.7535
0.0000 0.7572 0.7479
0.0000 0.2428 0.2521
0.5000 0.5000 0.0000
0.0000 0.0000 0.0000
0.5000 0.0000 0.5000
```

## Properties
- ΔH_f (0 K) (kJ/mol of atoms) = -78.9
- DOS at the Fermi energy (states/eV per atom) = 0.229
- space group = P2/m

[8]
# Ba2ThScSe6

Ba2ThScSe6 after structural relaxation (PBE, Alexandria via LeMat-Bulk).

Structure (POSCAR):
```
Ba2ThScSe6
1.0
-2.9579 0.6475 -6.6998
2.6543 -7.2157 -1.8692
-9.1608 -4.3502 3.7846
Sc Se Ba Th
2 12 4 2
direct
0.5000 0.0000 0.5000
0.0000 0.5000 0.0000
0.7980 0.8070 0.5404
0.6843 0.2932 0.5427
0.2980 0.6930 0.0404
0.9208 0.5135 0.2408
0.5792 0.0135 0.2592
0.1843 0.2068 0.0427
0.3157 0.7068 0.4573
0.4208 0.9865 0.7408
0.2020 0.1930 0.4596
0.7020 0.3070 0.9596
0.8157 0.7932 0.9573
0.0792 0.4865 0.7592
0.9725 0.0757 0.7500
0.4725 0.4243 0.2500
0.5275 0.5757 0.7500
0.0275 0.9243 0.2500
0.5000 0.0000 0.0000
0.0000 0.5000 0.5000
```

## Properties
- formation energy from raw total energies (eV per formula unit) = -17.124
- DOS at the Fermi energy (states/eV per atom) = 1.231
- space group = P2_1/c

[9]
# Tm2PaAu

Tm2PaAu after structural relaxation (PBE, Alexandria via LeMat-Bulk).

Structure (POSCAR):
```
Tm2PaAu
1.0
3.2639 0.0000 0.0000
1.6320 2.8266 0.0000
1.6320 0.9422 11.1028
Pa Tm Au
1 2 1
direct
0.0000 0.0000 0.0000
0.9038 0.9038 0.2885
0.0962 0.0962 0.7115
0.5000 0.5000 0.5000
```

## Properties
- ΔH_f (0 K) (kJ/mol of atoms) = 4.8
- polymorph energy (0 for the lowest one) (meV per atom) = 364.9
- DOS at the Fermi energy (states/eV per atom) = 1.348
- space group = R-3m

[10]
# ZrPtS2N

ZrPtS2N after structural relaxation (PBE, Alexandria via LeMat-Bulk).

Structure (POSCAR):
```
ZrPtS2N
1.0
-1.7159 -3.8104 -2.8335
0.1093 -3.0437 4.0269
-3.7450 1.0312 0.8811
Zr S Pt N
1 2 1 1
direct
0.0000 0.0000 0.0000
0.5000 0.0000 0.0000
0.0000 0.5000 0.0000
0.5000 0.5000 0.5000
0.0000 0.0000 0.5000
```

## Properties
- polymorph energy (0 for the lowest one) (meV per atom) = 252.1
- formation energy from raw total energies (eV per formula unit) = 2.479
- DOS at the Fermi energy (states/eV per atom) = 1.514
- space group = P4/mmm

[11]
# Rb3TcF

Rb3TcF after structural relaxation (PBE, Alexandria via LeMat-Bulk).

Structure (POSCAR):
```
Rb3TcF
1.0
-2.8673 1.4678 4.7029
3.0969 -3.6949 3.0413
3.8316 4.0849 1.0611
F Rb Tc
1 3 1
direct
0.0000 0.0000 0.0000
0.0000 0.5000 0.0000
0.5000 0.0000 0.0000
0.0000 0.0000 0.5000
0.5000 0.5000 0.5000
```

## Properties
- polymorph energy (0 for the lowest one) (meV per atom) = 0.0
- formation energy from raw total energies (eV per formula unit) = -0.520
- DOS at the Fermi energy (states/eV per atom) = 0.632
- space group = Pm-3m

[12]
# CsPtF

CsPtF after structural relaxation (PBE, Alexandria via LeMat-Bulk).

Structure (POSCAR):
```
CsPtF
1.0
-0.6417 -4.6395 10.4157
-3.0062 -1.7375 -1.0630
1.9240 -2.9810 -0.5681
Cs F Pt
2 2 2
direct
0.3285 0.0319 0.2867
0.9847 0.5494 0.4637
0.2060 0.5205 0.8501
0.8717 0.0405 0.0230
0.6667 0.0614 0.1018
0.6088 0.5546 0.6334
```

## Properties
- polymorph energy (0 for the lowest one) (meV per atom) = 0.0
- formation energy from raw total energies (eV per formula unit) = -3.852
- DOS at the Fermi energy (states/eV per atom) = 0.679
- space group = P1

[13]
# SrCaGa

SrCaGa after structural relaxation (PBE, Alexandria via LeMat-Bulk).

Structure (POSCAR):
```
SrCaGa
1.0
3.8538 0.0078 -0.0014
-0.0139 7.6180 0.0440
-1.9278 -1.9657 6.8411
Ga Ca Sr
2 2 2
direct
0.9406 0.2723 0.6476
0.9373 0.8317 0.6414
0.3029 0.9859 0.3744
0.5748 0.1181 0.9144
0.5696 0.6189 0.9048
0.3083 0.4850 0.3839
```

## Properties
- ΔH_f (0 K) (kJ/mol of atoms) = -28.5
- DOS at the Fermi energy (states/eV per atom) = 0.741
- space group = P-1

[14]
# ZnGa8

ZnGa8 after structural relaxation (PBE, Alexandria via LeMat-Bulk).

Structure (POSCAR):
```
ZnGa8
1.0
3.2327 0.0000 0.0000
1.6163 7.2059 0.0000
1.6163 0.0000 7.2059
Ga Zn
8 1
direct
0.6637 0.6725 0.0000
0.0000 0.6681 0.3319
0.3363 0.0000 0.3275
0.0000 0.3319 0.6681
0.6637 0.0000 0.6725
0.6681 0.3319 0.3319
0.3363 0.3275 0.0000
0.3319 0.6681 0.6681
0.0000 0.0000 0.0000
```

## Properties
- ΔH_f (0 K) (kJ/mol of atoms) = 4.2
- polymorph energy (0 for the lowest one) (meV per atom) = 4.1
- DOS at the Fermi energy (states/eV per atom) = 0.349
- space group = I4/mmm

[15]
# LaCrBr2

LaCrBr2 after structural relaxation (PBE, Alexandria via LeMat-Bulk).

Structure (POSCAR):
```
LaCrBr2
1.0
5.4947 0.0031 0.0000
1.0487 5.3937 0.0000
-3.2717 -2.6984 3.4938
Br Cr La
2 1 1
direct
0.5000 0.5000 0.0000
0.0000 0.0000 0.0000
0.2500 0.7500 0.5000
0.7500 0.2500 0.5000
```

## Properties
- polymorph energy (0 for the lowest one) (meV per atom) = 141.7
- formation energy from raw total energies (eV per formula unit) = -2.035
- DOS at the Fermi energy (states/eV per atom) = 0.371
- space group = I4/mmm

[16]
# Dy3Tl2Au2

Dy3Tl2Au2 after structural relaxation (PBE, Alexandria via LeMat-Bulk).

Structure (POSCAR):
```
Dy3Tl2Au2
1.0
10.3389 4.8881 -0.7353
-11.4407 -0.6319 0.1995
0.0362 0.4498 3.4985
Dy Au Tl
3 2 2
direct
0.1671 0.8329 0.0000
0.8329 0.1671 0.0000
0.0000 0.0000 0.0000
0.2879 0.7121 0.5000
0.7121 0.2879 0.5000
0.4205 0.5795 0.5000
0.5795 0.4205 0.5000
```

## Properties
- ΔH_f (0 K) (kJ/mol of atoms) = -55.6
- DOS at the Fermi energy (states/eV per atom) = 0.714
- space group = Cmmm

[17]
# BeCr2Fe

BeCr2Fe after structural relaxation (PBE, Alexandria via LeMat-Bulk).

Structure (POSCAR):
```
BeCr2Fe
1.0
4.5095 0.0005 -0.0015
1.9266 4.0772 0.0015
-2.7871 -2.7190 2.2747
Be Cr Fe
1 2 1
direct
0.2542 0.7542 0.5000
0.9894 0.9894 0.0000
0.7528 0.2528 0.5000
0.5036 0.5036 0.0000
```

## Properties
- ΔH_f (0 K) (kJ/mol of atoms) = 5.0
- DOS at the Fermi energy (states/eV per atom) = 1.004
- space group = Imm2

[18]
# LaTlSi3

LaTlSi3 after structural relaxation (PBE, Alexandria via LeMat-Bulk).

Structure (POSCAR):
```
LaTlSi3
1.0
-3.9752 -0.9457 3.8422
3.1207 -4.0976 2.2203
2.4326 3.7114 3.4303
Si Tl La
3 1 1
direct
0.0000 0.0000 0.5000
0.5000 0.0000 0.0000
0.0000 0.5000 0.0000
0.5000 0.5000 0.5000
0.0000 0.0000 0.0000
```

## Properties
- polymorph energy (0 for the lowest one) (meV per atom) = 292.6
- formation energy from raw total energies (eV per formula unit) = 5.367
- DOS at the Fermi energy (states/eV per atom) = 0.935
- space group = Pm-3m

[19]
# La3Tl

La3Tl after structural relaxation (PBE, Alexandria via LeMat-Bulk).

Structure (POSCAR):
```
La3Tl
1.0
4.9773 0.0000 0.0000
0.0000 4.9773 0.0000
-2.4887 -2.4887 5.2470
La Tl
3 1
direct
0.7500 0.2500 0.5000
0.5000 0.5000 0.0000
0.2500 0.7500 0.5000
0.0000 0.0000 0.0000
```

## Properties
- ΔH_f (0 K) (kJ/mol of atoms) = -22.2
- polymorph energy (0 for the lowest one) (meV per atom) = 13.2
- DOS at the Fermi energy (states/eV per atom) = 1.374
- space group = I4/mmm

[20]
# CaYBe3

CaYBe3 after structural relaxation (PBE, Alexandria via LeMat-Bulk).

Structure (POSCAR):
```
CaYBe3
1.0
4.7671 0.0000 0.0000
0.0000 4.7671 0.0000
0.0000 0.0000 4.7671
Be Ca Y
3 1 1
direct
0.0000 0.5000 0.0000
0.5000 0.0000 0.0000
0.0000 0.0000 0.5000
0.0000 0.0000 0.0000
0.5000 0.5000 0.5000
```

## Properties
- ΔH_f (0 K) (kJ/mol of atoms) = 129.7
- polymorph energy (0 for the lowest one) (meV per atom) = 55.2
- DOS at the Fermi energy (states/eV per atom) = 0.941
- space group = Pm-3m

[21]
# Rb2ErBiTe4

Rb2ErBiTe4 after structural relaxation (PBE, Alexandria via LeMat-Bulk).

Structure (POSCAR):
```
Rb2ErBiTe4
1.0
4.5429 0.0000 0.0000
0.0000 7.9691 0.1737
0.0000 -2.7718 8.4983
Te Bi Er Rb
4 1 1 2
direct
0.5000 0.2412 0.2006
0.5000 0.7588 0.7994
0.0000 0.2738 0.8022
0.0000 0.7262 0.1978
0.0000 0.0000 0.0000
0.5000 0.5000 0.0000
0.0000 0.5000 0.5000
0.5000 0.0000 0.5000
```

## Properties
- formation energy from raw total energies (eV per formula unit) = -7.920
- space group = P2/m

[22]
# CaPmY4S8

CaPmY4S8 after structural relaxation (PBE, Alexandria via LeMat-Bulk).

Structure (POSCAR):
```
CaPmY4S8
1.0
-5.4774 5.9759 0.4077
-2.7118 2.5340 7.2183
2.2020 7.3383 2.8144
S Ca Y Pm
8 1 4 1
direct
0.2438 0.2438 0.7333
0.2284 0.7537 0.2641
0.7791 0.2438 0.7333
0.2438 0.7791 0.7333
0.2395 0.2395 0.2814
0.7537 0.2284 0.2641
0.7537 0.7537 0.2641
0.7582 0.7582 0.7253
0.3744 0.3744 0.8766
0.0019 0.0019 0.5020
0.6254 0.6254 0.1238
0.0019 0.4943 0.5020
0.4943 0.0019 0.5020
0.0018 0.0018 0.9946
```

## Properties
- formation energy from raw total energies (eV per formula unit) = -28.013
- DOS at the Fermi energy (states/eV per atom) = 0.262
- space group = R3m

[23]
# Th2AgSb4

Th2AgSb4 after structural relaxation (PBE, Alexandria via LeMat-Bulk).

Structure (POSCAR):
```
Th2AgSb4
1.0
4.4159 0.0000 0.0000
0.0000 4.4159 0.0000
0.0000 0.0000 10.2268
Sb Ag Th
4 1 2
direct
0.0000 0.5000 0.8313
0.5000 0.0000 0.1687
0.5000 0.5000 0.5000
0.0000 0.0000 0.5000
0.5000 0.5000 0.0000
0.5000 0.0000 0.7440
0.0000 0.5000 0.2560
```

## Properties
- formation energy from raw total energies (eV per formula unit) = -4.665
- DOS at the Fermi energy (states/eV per atom) = 0.271
- space group = P-4m2

[24]
# AcTb5Pm2Pr

AcTb5Pm2Pr after structural relaxation (PBE, Alexandria via LeMat-Bulk).

Structure (POSCAR):
```
AcTb5Pm2Pr
1.0
-8.0623 -2.0658 -3.2532
2.0610 -8.6855 0.4075
0.1434 5.0399 8.7171
Ac Tb Pm Pr
2 10 4 2
direct
0.2500 0.7500 0.5000
0.7500 0.2500 0.5000
0.3416 0.8416 0.2616
0.9200 0.4200 0.2616
0.8416 0.9200 0.2616
0.0000 0.0000 0.0000
0.5800 0.6584 0.7384
0.5000 0.5000 0.0000
0.4200 0.3416 0.2616
0.0800 0.5800 0.7384
0.6584 0.1584 0.7384
0.1584 0.0800 0.7384
0.1143 0.3857 0.0000
0.8857 0.6143 0.0000
0.6143 0.1143 0.0000
0.3857 0.8857 0.0000
0.7500 0.7500 0.5000
0.2500 0.2500 0.5000
```

## Properties
- ΔH_f (0 K) (kJ/mol of atoms) = 25.4
- DOS at the Fermi energy (states/eV per atom) = 1.136
- space group = I4/mcm

no.,uncorrected energy (eV per atom)
1,-3.659
2,-3.856
3,-4.451
4,-6.812
5,-5.816
6,-6.657
7,-5.430
8,-5.563
9,-5.379
10,-5.738
11,-3.132
12,-4.206
13,-2.532
14,-2.788
15,-4.983
16,-4.161
17,-7.807
18,-3.639
19,-4.517
20,-2.585
21,-3.858
22,-6.689
23,-5.549
24,-4.352